1.
This record from Alexandria describes Sr3ScPa2As6 after structural relaxation. The functional is PBE.

```
12
Lattice="3.6371 -6.2994 0.0000 3.6371 6.2994 0.0000 -2.4233 0.0000 7.1004" Properties=species:S:1:pos:R:3 pbc="T T T"
Sr 0.0000 0.0000 0.0000
Sr 3.6371 2.0983 0.0000
Sr 3.6371 -2.0983 0.0000
Sc 2.4254 0.0000 3.5502
Pa 2.4254 4.1989 3.5502
Pa 2.4254 -4.1989 3.5502
As 1.2170 2.0923 2.0247
As 0.0091 0.0000 5.0800
As 1.2170 -2.0923 2.0247
As 3.6338 2.0923 5.0756
As 4.8417 0.0000 2.0203
As 3.6338 -2.0923 5.0756
```

Summary:
total magnetic moment: 0.00 μB/atom
mass density: 6.2 g/cm3
crystal system: monoclinic
formation energy from the elements: -1.20 eV/atom



2.
This record from Alexandria describes Sr3Sc2PaAs6 after structural relaxation. The functional is PBE.

```
12
Lattice="3.6014 -6.2433 0.0000 3.6014 6.2433 0.0000 -2.4046 0.0000 7.0700" Properties=species:S:1:pos:R:3 pbc="T T T"
Sr 0.0000 0.0000 0.0000
Sr 3.6014 2.0822 0.0000
Sr 3.6014 -2.0822 0.0000
Sc 2.3991 4.1592 3.5350
Sc 2.3991 -4.1592 3.5350
Pa 2.3991 0.0000 3.5350
As 1.1881 2.1005 2.0355
As -0.0275 0.0000 5.0299
As 1.1881 -2.1005 2.0355
As 3.6100 2.1005 5.0345
As 4.8257 0.0000 2.0401
As 3.6100 -2.1005 5.0345
```

Summary:
total magnetic moment: 0.00 μB/atom
mass density: 5.4 g/cm3
crystal system: monoclinic
formation energy from the elements: -1.18 eV/atom



3.
This record from Alexandria describes Tb2ScPaAs4 after structural relaxation. The functional is PBE.

```
8
Lattice="7.0026 0.0000 0.0000 0.0000 4.0779 0.0000 -2.3535 0.0000 6.6590" Properties=species:S:1:pos:R:3 pbc="T T T"
Tb 0.0000 0.0000 0.0000
Tb 3.5013 2.0390 0.0000
Sc -1.1768 2.0390 3.3295
Pa 2.3246 0.0000 3.3295
As -0.0414 0.0000 4.9077
As 1.1219 2.0390 1.7153
As 3.5272 2.0390 4.9437
As 4.6905 0.0000 1.7513
```

Summary:
total magnetic moment: 0.00 μB/atom
mass density: 7.8 g/cm3
crystal system: monoclinic
formation energy from the elements: -1.37 eV/atom



4.
This record from Alexandria describes ScPaTeAs after structural relaxation. The functional is PBE.

```
12
Lattice="3.9618 0.0000 0.0000 -1.9809 3.4310 0.0000 0.0000 0.0000 22.0483" Properties=species:S:1:pos:R:3 pbc="T T T"
Sc 0.0000 0.0000 0.0000
Sc 0.0000 2.2874 14.6989
Sc 1.9809 1.1437 7.3494
Pa 0.0000 0.0000 17.8750
Pa 0.0000 2.2874 10.5256
Pa 1.9809 1.1437 3.1761
Te 0.0000 0.0000 5.3411
Te 0.0000 2.2874 20.0399
Te 1.9809 1.1437 12.6905
As 0.0000 0.0000 8.8098
As 0.0000 2.2874 1.4603
As 1.9809 1.1437 16.1592
```

Summary:
total magnetic moment: 0.22 μB/atom
mass density: 8.0 g/cm3
crystal system: trigonal
energy relative to the elements, uncorrected: -1025 meV per atom



5.
This record from Alexandria describes Th2ScPaAs4 after structural relaxation. The functional is PBE.

```
8
Lattice="7.1368 0.0000 0.0000 0.0000 4.1431 0.0000 -2.3936 0.0000 6.7428" Properties=species:S:1:pos:R:3 pbc="T T T"
Th 0.0000 0.0000 0.0000
Th 3.5684 2.0715 0.0000
Sc -1.1968 2.0715 3.3714
Pa 2.3716 0.0000 3.3714
As -0.0447 0.0000 4.9167
As 1.1377 2.0715 1.8044
As 3.6055 2.0715 4.9384
As 4.7880 0.0000 1.8262
```

Summary:
total magnetic moment: 0.00 μB/atom
mass density: 8.7 g/cm3
crystal system: monoclinic
formation energy from the elements: -1.28 eV/atom



6.
This record from Alexandria describes TmScPa2As4 after structural relaxation. The functional is PBE.

```
8
Lattice="6.9589 0.0000 0.0000 0.0000 4.0440 0.0000 -2.3483 0.0000 6.5955" Properties=species:S:1:pos:R:3 pbc="T T T"
Tm 0.0000 0.0000 0.0000
Sc -1.1741 2.0220 3.2977
Pa 2.3053 0.0000 3.2977
Pa 3.4795 2.0220 0.0000
As -0.0744 0.0000 4.8937
As 1.0962 2.0220 1.6634
As 3.5145 2.0220 4.9321
As 4.6851 0.0000 1.7018
```

Summary:
total magnetic moment: 0.00 μB/atom
mass density: 8.7 g/cm3
crystal system: monoclinic
formation energy from the elements: -1.22 eV/atom